(1)
The following is a DFT calculation (PBE) of a geometry-optimized RhAuSe2 structure.

Results
E	-4.426	eV/atom
magnetic moment	0.0000	μB per atom
raw formation energy	-0.10	eV/f.u.

a b c (Å): 6.945 7.896 6.451
angles (deg): 90.00 90.00 90.00
Atoms (fractional coordinates):
Rh1 0.124 0.143 0.000
Rh2 0.376 0.643 0.500
Rh3 0.624 0.357 0.000
Rh4 0.876 0.857 0.500
Au1 0.175 0.543 0.130
Au2 0.325 0.043 0.630
Au3 0.675 0.957 0.130
Au4 0.825 0.457 0.630
Se1 0.024 0.877 0.153
Se2 0.081 0.665 0.703
Se3 0.419 0.165 0.203
Se4 0.476 0.377 0.653
Se5 0.524 0.623 0.153
Se6 0.581 0.835 0.703
Se7 0.919 0.335 0.203
Se8 0.976 0.123 0.653

***

(2)
The following is a DFT calculation (PBE) of a geometry-optimized RhAuSe structure.

Results
E	-4.685	eV/atom
magnetic moment	0.0000	μB per atom
raw formation energy	0.06	eV/f.u.
relative energy among the computed polymorphs	0.108	eV/atom

a b c (Å): 3.032 3.032 11.727
angles (deg): 90.00 90.00 90.00
Atoms (fractional coordinates):
Rh1 0.000 0.000 0.000
Rh2 0.500 0.500 0.500
Au1 0.000 0.000 0.330
Au2 0.500 0.500 0.830
Se1 0.000 0.000 0.614
Se2 0.500 0.500 0.114

***

(3)
The following is a DFT calculation (PBE) of a geometry-optimized Rh2AuSe structure.

Results
E	-5.078	eV/atom
magnetic moment	0.0000	μB per atom
raw formation energy	1.15	eV/f.u.

a b c (Å): 2.842 4.848 10.073
angles (deg): 90.00 90.00 90.00
Atoms (fractional coordinates):
Rh1 0.000 0.000 0.000
Rh2 0.000 0.500 0.221
Rh3 0.500 0.000 0.221
Rh4 0.500 0.500 0.000
Au1 0.000 0.500 0.756
Au2 0.500 0.000 0.756
Se1 0.000 0.000 0.431
Se2 0.500 0.500 0.431

***

(4)
The following is a DFT calculation (PBE) of a geometry-optimized Rh2AuSe structure.

Results
E	-5.022	eV/atom
magnetic moment	0.3350	μB per atom
raw formation energy	1.38	eV/f.u.

a b c (Å): 4.010 4.010 8.111
angles (deg): 90.00 90.00 90.00
Atoms (fractional coordinates):
Rh1 0.000 0.000 0.000
Rh2 0.000 0.500 0.250
Rh3 0.500 0.000 0.750
Rh4 0.500 0.500 0.500
Au1 0.000 0.000 0.500
Au2 0.500 0.500 0.000
Se1 0.000 0.500 0.750
Se2 0.500 0.000 0.250

***

(5)
The following is a DFT calculation (PBE) of a geometry-optimized Rh2AuSe structure.

Results
E	-5.251	eV/atom
magnetic moment	0.0000	μB per atom
raw formation energy	0.46	eV/f.u.

a b c (Å): 2.930 3.885 5.895
angles (deg): 90.00 90.00 90.00
Atoms (fractional coordinates):
Rh1 0.000 0.000 0.000
Rh2 0.500 0.500 0.259
Au1 0.500 0.500 0.761
Se1 0.000 0.000 0.404

***

(6)
The following is a DFT calculation (PBE) of a geometry-optimized RhAu2Se structure.

Results
E	-4.111	eV/atom
magnetic moment	0.0000	μB per atom
raw formation energy	0.95	eV/f.u.

a b c (Å): 3.068 4.606 4.952
angles (deg): 90.00 90.00 90.00
Atoms (fractional coordinates):
Rh1 0.000 0.000 0.000
Au1 0.000 0.500 0.500
Au2 0.500 0.000 0.500
Se1 0.500 0.500 0.000

***

(7)
The following is a DFT calculation (PBE) of a geometry-optimized RhAuSe2 structure.

Results
E	-4.436	eV/atom
magnetic moment	0.0000	μB per atom
raw formation energy	-0.15	eV/f.u.

a b c (Å): 3.649 4.315 10.780
angles (deg): 90.00 90.00 90.00
Atoms (fractional coordinates):
Rh1 0.000 0.000 0.000
Rh2 0.500 0.500 0.500
Au1 0.000 0.000 0.500
Au2 0.500 0.500 0.000
Se1 0.000 0.500 0.344
Se2 0.000 0.500 0.656
Se3 0.500 0.000 0.156
Se4 0.500 0.000 0.844

***

(8)
The following is a DFT calculation (PBE) of a geometry-optimized Rh2AuSe structure.

Results
E	-5.027	eV/atom
magnetic moment	0.0000	μB per atom
raw formation energy	1.36	eV/f.u.

a b c (Å): 6.381 6.381 6.381
angles (deg): 90.00 90.00 90.00
Atoms (fractional coordinates):
Rh1 0.000 0.000 0.000
Rh2 0.000 0.500 0.500
Rh3 0.250 0.250 0.250
Rh4 0.250 0.750 0.750
Rh5 0.500 0.000 0.500
Rh6 0.500 0.500 0.000
Rh7 0.750 0.250 0.750
Rh8 0.750 0.750 0.250
Au1 0.250 0.250 0.750
Au2 0.250 0.750 0.250
Au3 0.750 0.250 0.250
Au4 0.750 0.750 0.750
Se1 0.000 0.000 0.500
Se2 0.000 0.500 0.000
Se3 0.500 0.000 0.000
Se4 0.500 0.500 0.500